(1)
The following is a PBE calculation of an optimized crystal structure of BePdCBr, from the Alexandria database.

Cell: 5.769 3.295 7.791 Å, 90.00 102.50 90.00°
Space group Cm (No. 8)
Unique sites:
Be 0.000 0.000 0.000
Pd 0.423 0.000 0.319
C 0.065 0.000 0.224
Br 0.286 0.000 0.838

Output
- ΔE_f (raw) (eV per formula unit) = 1.28
- polymorph energy (0 for the lowest one) (eV per atom) = 0.038
- calculated total energy (eV/cell) = -37.065

***

(2)
The following is a PBE calculation of an optimized crystal structure of BePdCBr, from the Alexandria database.

Cell: 3.416 3.461 5.706 Å, 90.18 100.79 90.15°
Space group P1 (No. 1)
Unique sites:
Be 0.000 0.000 0.000
Pd 0.655 0.501 0.240
C 0.513 0.000 0.056
Br 0.663 0.002 0.615

Output
- ΔE_f (raw) (eV per formula unit) = 1.57
- polymorph energy (0 for the lowest one) (eV per atom) = 0.109
- calculated total energy (eV/cell) = -18.247

***

(3)
The following is a PBE calculation of an optimized crystal structure of BePdCBr, from the Alexandria database.

Cell: 7.097 2.872 7.620 Å, 90.00 103.29 90.00°
Space group Cm (No. 8)
Unique sites:
Be 0.000 0.000 0.000
Pd 0.239 0.000 0.830
C 0.040 0.500 0.867
Br 0.044 0.000 0.286

Output
- ΔE_f (raw) (eV per formula unit) = 1.66
- polymorph energy (0 for the lowest one) (eV per atom) = 0.131
- calculated total energy (eV/cell) = -36.315

***

(4)
The following is a PBE calculation of an optimized crystal structure of BePdCBr, from the Alexandria database.

Cell: 3.451 3.560 6.207 Å, 106.58 103.50 90.88°
Space group P1 (No. 1)
Unique sites:
Be 0.000 0.000 0.000
Pd 0.295 0.395 0.786
C 0.481 0.963 0.917
Br 0.349 0.157 0.358

Output
- ΔE_f (raw) (eV per formula unit) = 1.58
- polymorph energy (0 for the lowest one) (eV per atom) = 0.111
- calculated total energy (eV/cell) = -18.238

***

(5)
The following is a PBE calculation of an optimized crystal structure of BePdCBr, from the Alexandria database.

Cell: 3.188 2.826 7.852 Å, 90.00 100.64 90.00°
Space group Pm (No. 6)
Unique sites:
Be 0.000 0.000 0.000
Pd 0.398 0.000 0.775
C 0.936 0.500 0.856
Br 0.119 0.000 0.276

Output
- ΔE_f (raw) (eV per formula unit) = 1.76
- polymorph energy (0 for the lowest one) (eV per atom) = 0.156
- calculated total energy (eV/cell) = -18.059

***

(6)
The following is a PBE calculation of an optimized crystal structure of Be2CSBr, from the Alexandria database.

Cell: 3.836 3.836 6.911 Å, 90.00 90.00 90.00°
Space group P4/mmm (No. 123)
Unique sites:
Be 0.000 0.500 0.000
C 0.000 0.000 0.500
S 0.500 0.500 0.000
Br 0.500 0.500 0.500

Output
- ΔE_f (raw) (eV per formula unit) = 8.02
- calculated total energy (eV/cell) = -14.459